The following is a DFT calculation (PBE) of a relaxed structure of PmPr2Nd2Mg.

Unit cell a=6.9210 b=18.3064 c=6.4962 alpha=90.00 beta=90.00 gamma=90.00
Last column: nearest neighbours and their distance in Å.
Space group Ibam (No. 72)
Asymmetric unit:
1 Pm 0.0000 0.0000 0.2500 [4 per cell]  2 Pm 3.25, 4 Nd 3.39, 2 Mg 3.46
2 Pr 0.1507 0.3458 0.0000 [8 per cell]  2 Mg 3.42, 5 Nd 3.43-3.55
3 Nd 0.1556 0.1518 0.0000 [8 per cell]  2 Pm 3.39, 5 Pr 3.43-3.55
4 Mg 0.0000 0.5000 0.2500 [4 per cell]  2 Mg 3.25, 4 Pr 3.42, 2 Pm 3.46

Results
size of the total moment	0.000	μB/f.u.
DFT formation energy	0.171	eV per atom
D(E_F)	35.083	states/eV per cell